No. 1
Here is an optimized crystal structure of Tc2ClF2 from Alexandria. Energies are from PBE.

Values from the calculation:
Final energy = -28.71 eV for the cell shown
Energy above the lowest structure with this stoichiometry = 215 meV/atom
Formation energy from raw total energies = -0.478 eV per atom
Symmetry = No. 139

a b c (Å): 3.992 3.992 5.522
angles (deg): 68.81 68.81 90.00
Each line ends with the local moment (μB).
Element x y z (fractional)
F 0.750 0.250 0.500  0.00
F 0.250 0.750 0.500  0.00
Tc 0.605 0.605 0.790  0.64
Tc 0.395 0.395 0.210  0.64
Cl 0.000 0.000 0.000  0.06

=====

No. 2
Here is an optimized crystal structure of Ba2AuSe from Alexandria. Energies are from PBE.

Values from the calculation:
Final energy = -31.90 eV for the cell shown
Formation energy from raw total energies = -1.336 eV per atom
Symmetry = No. 63

a b c (Å): 4.824 4.628 13.278
angles (deg): 100.04 90.00 90.00
Element x y z (fractional)
Se 0.250 0.189 0.378
Se 0.750 0.811 0.622
Ba 0.750 0.686 0.371
Ba 0.250 0.064 0.127
Ba 0.250 0.314 0.629
Ba 0.750 0.936 0.873
Au 0.750 0.538 0.077
Au 0.250 0.462 0.923

=====

No. 3
Here is an optimized crystal structure of PaMnCrC3 from Alexandria. Energies are from PBE.

Values from the calculation:
Final energy = -113.97 eV for the cell shown
Calculated formation energy = -1.03 eV per formula unit
Symmetry = No. 11

a b c (Å): 3.166 5.689 7.996
angles (deg): 113.54 90.00 90.00
Each line ends with the local moment (μB).
Element x y z (fractional)
C 0.250 0.768 0.493  -0.05
C 0.250 0.479 0.837  -0.06
C 0.750 0.232 0.507  -0.05
C 0.750 0.521 0.163  -0.06
C 0.750 0.936 0.145  -0.06
C 0.250 0.064 0.855  -0.06
Cr 0.250 0.701 0.090  1.01
Cr 0.750 0.299 0.910  1.01
Pa 0.750 0.713 0.729  0.05
Pa 0.250 0.287 0.271  0.05
Mn 0.250 0.150 0.620  0.73
Mn 0.750 0.850 0.380  0.73

=====

Please write out number 2 again, unchanged.
Here is an optimized crystal structure of Ba2AuSe from Alexandria. Energies are from PBE.

Values from the calculation:
Final energy = -31.90 eV for the cell shown
Formation energy from raw total energies = -1.336 eV per atom
Symmetry = No. 63

a b c (Å): 4.824 4.628 13.278
angles (deg): 100.04 90.00 90.00
Element x y z (fractional)
Se 0.250 0.189 0.378
Se 0.750 0.811 0.622
Ba 0.750 0.686 0.371
Ba 0.250 0.064 0.127
Ba 0.250 0.314 0.629
Ba 0.750 0.936 0.873
Au 0.750 0.538 0.077
Au 0.250 0.462 0.923

=====

Among the records above, which one has the lowest final energy? PaMnCrC3

=====

What is the final energy in the third record? -113.97 eV for the cell shown